LiSm2Ge4Pt3 | PBE | relaxed

Cell: 4.2851 4.2851 10.3692 Å, 90.00 90.00 90.00°
Last column: nearest neighbours and their distance in Å.
Element x y z (fractional)
1 Pt 0.5000 0.0000 0.8715  5 Ge 2.47-2.52
2 Pt 0.0000 0.0000 0.5000  4 Ge 2.55
3 Pt 0.0000 0.5000 0.1285  5 Ge 2.47-2.52
4 Ge 0.0000 0.5000 0.3668  3 Pt 2.47-2.55, 2 Li 2.55
5 Ge 0.0000 0.0000 0.0000  4 Pt 2.52
6 Ge 0.5000 0.0000 0.6332  3 Pt 2.47-2.55, 2 Li 2.55
7 Ge 0.5000 0.5000 0.0000  4 Pt 2.52
8 Sm 0.5000 0.0000 0.2544  8 Ge 3.25-3.40, 6 Pt 3.30-3.33, 2 Li 3.33
9 Sm 0.0000 0.5000 0.7456  8 Ge 3.25-3.40, 6 Pt 3.30-3.33, 2 Li 3.33
10 Li 0.5000 0.5000 0.5000  4 Ge 2.55

As for the uncorrected energy: -5.66 eV/atom. As for the symmetry: P-4m2, No. 115.

---

PrTm2MoN4 | PBE | relaxed

Cell: 3.4171 6.1282 11.7487 Å, 90.00 90.00 106.19°
Last column: nearest neighbours and their distance in Å.
Element x y z (fractional)
1 Mo 0.8348 0.6696 0.7500  4 N 1.92-2.08
2 Mo 0.1652 0.3304 0.2500  4 N 1.92-2.08
3 Pr 0.0937 0.1875 0.7500  2 N 2.53
4 Pr 0.9063 0.8125 0.2500  2 N 2.53
5 Tm 0.6294 0.2588 0.4606  5 N 2.25-2.49
6 Tm 0.6294 0.2588 0.0394  5 N 2.25-2.49
7 Tm 0.3706 0.7412 0.5394  5 N 2.25-2.49
8 Tm 0.3706 0.7412 0.9606  5 N 2.25-2.49
9 N 0.4354 0.8709 0.7500  2 Mo 2.08
10 N 0.2616 0.5232 0.3820  1 Mo 1.92
11 N 0.7384 0.4768 0.6180  1 Mo 1.92
12 N 0.0000 0.0000 0.0000  4 Tm 2.34
13 N 0.2616 0.5232 0.1180  1 Mo 1.92
14 N 0.0000 0.0000 0.5000  4 Tm 2.34
15 N 0.5646 0.1291 0.2500  2 Mo 2.08
16 N 0.7384 0.4768 0.8820  1 Mo 1.92

As for the uncorrected energy: -8.41 eV/atom. As for the symmetry: Cmcm, No. 63. As for the uncorrected formation energy: -1.182 eV/atom.

---

Li6Zn2Rh | PBE | relaxed

Cell: 2.9742 7.6446 7.6446 Å, 124.76 85.90 85.90°
Last column: nearest neighbours and their distance in Å.
Element x y z (fractional)
1 Li 0.8498 0.1570 0.4925  4 Li 2.57-2.77, 3 Zn 2.67-2.82
2 Li 0.3684 0.3021 0.3021  2 Rh 2.55-2.62, 4 Li 2.70-2.74
3 Li 0.1502 0.8430 0.5075  4 Li 2.57-2.77, 3 Zn 2.67-2.82
4 Li 0.8498 0.4925 0.1570  4 Li 2.57-2.77, 3 Zn 2.67-2.82
5 Li 0.6316 0.6979 0.6979  2 Rh 2.55-2.62, 4 Li 2.70-2.74
6 Li 0.1502 0.5075 0.8430  4 Li 2.57-2.77, 3 Zn 2.67-2.82
7 Zn 0.5000 0.1557 0.8443  2 Rh 2.58, 6 Li 2.67-2.82
8 Zn 0.5000 0.8443 0.1557  2 Rh 2.58, 6 Li 2.67-2.82
9 Rh 0.0000 0.0000 0.0000  4 Li 2.55-2.62, 4 Zn 2.58

As for the uncorrected energy: -2.52 eV/atom. As for the symmetry: C2/m, No. 12. Its energy above the lowest structure with this stoichiometry is 33.9 meV/atom.

---

NaSnAu4 | PBE | relaxed

Cell: 6.5602 7.0132 7.1575 Å, 119.34 96.85 90.00°
Last column: nearest neighbours and their distance in Å.
Element x y z (fractional)
1 Sn 0.7331 0.4719 0.9439  5 Au 2.71-2.78
2 Sn 0.2669 0.5281 0.0561  5 Au 2.71-2.78
3 Na 0.9574 0.7625 0.5251  7 Au 3.09-3.32
4 Na 0.0426 0.2375 0.4749  7 Au 3.09-3.32
5 Au 0.3499 0.0965 0.7851  4 Au 2.73-2.88, 1 Sn 2.78
6 Au 0.6501 0.3115 0.2149  4 Au 2.73-2.88, 1 Sn 2.78
7 Au 0.6501 0.9035 0.2149  4 Au 2.73-2.88, 1 Sn 2.78
8 Au 0.0000 0.8070 0.0000  3 Au 2.71-2.81, 2 Sn 2.77
9 Au 0.3499 0.6885 0.7851  4 Au 2.73-2.88, 1 Sn 2.78
10 Au 0.4825 0.7291 0.4582  1 Sn 2.71, 4 Au 2.73-2.88
11 Au 0.5175 0.2709 0.5418  1 Sn 2.71, 4 Au 2.73-2.88
12 Au 0.0000 0.1930 0.0000  3 Au 2.71-2.81, 2 Sn 2.77

As for the uncorrected energy: -3.19 eV/atom. As for the symmetry: C2/m, No. 12. Its energy above the lowest structure with this stoichiometry is 54.0 meV/atom.

---

Going through the records in order, we get density values of 10.322; 8.866; 3.241; 10.856 g/cm³.